14
Lattice="3.545 2.047 10.302 -3.545 2.047 10.302 0.000 -4.094 10.302" Properties=species:S:1:pos:R:3 comment="YEr3Te3 | the Alexandria database | PBE-GGA | optimized geometry" sg="R-3 (148)" total_magnetization_mub_per_cell=2.02 energy_ev_per_atom=-5.150 pbc="T T T"
Y 0.000 0.000 5.159
Y 0.000 0.000 25.748
Er -2.439 -0.014 11.676
Er -1.208 -2.119 19.231
Er 1.231 -2.105 11.676
Er -1.231 2.105 19.231
Er 1.208 2.119 11.676
Er 2.439 0.014 19.231
Te -1.121 -1.957 13.616
Te -2.256 -0.007 17.290
Te -1.134 1.950 13.616
Te 1.134 -1.950 17.290
Te 2.256 0.007 13.616
Te 1.121 1.957 17.290

***

10
Lattice="4.668 0.000 0.000 0.000 4.668 0.000 0.000 0.000 12.018" Properties=species:S:1:pos:R:3 comment="Sr2LiSb4Au3 | the Alexandria database | PBE-GGA | optimized geometry" sg="P-4m2 (115)" total_magnetization_mub_per_cell=0.00 energy_ev_per_atom=-3.779 pbc="T T T"
Sr 0.000 2.334 2.876
Sr 2.334 0.000 9.141
Li 2.334 2.334 0.000
Sb 0.000 0.000 6.009
Sb 0.000 2.334 10.435
Sb 2.334 0.000 1.583
Sb 2.334 2.334 6.009
Au 0.000 0.000 0.000
Au 0.000 2.334 7.745
Au 2.334 0.000 4.273

***

6
Lattice="2.471 -7.595 0.000 2.471 7.595 0.000 0.000 0.000 4.884" Properties=species:S:1:pos:R:3 comment="Sm3Er2Tl | the Alexandria database | PBE-GGA | optimized geometry" sg="Cmmm (65)" de_polymorph_kj_per_mol_atoms=0.0 total_magnetization_mub_per_cell=0.00 energy_ev_per_atom=-4.384 pbc="T T T"
Sm 0.000 0.000 0.000
Sm 2.471 2.583 0.000
Sm 2.471 -2.583 0.000
Er 2.471 5.112 2.442
Er 2.471 -5.112 2.442
Tl 2.471 0.000 2.442